This record from Alexandria via LeMat-Bulk describes a relaxed structure of Ce3P2. The functional is PBE.

Properties
Formation energy from the elements (eV per atom): -1.10

a = 4.0331 Å, b = 10.6408 Å, c = 11.5081 Å
α = 90.00°, β = 90.00°, γ = 90.00°
Last column: magnetic moment on the atom in μB.
Sites, in units of the cell vectors:
Ce (0.2500, 0.9486, 0.3715)  0.80
Ce (0.7500, 0.7025, 0.2697)  0.92
Ce (0.2500, 0.6344, 0.5460)  0.73
Ce (0.2500, 0.8656, 0.0460)  0.73
Ce (0.2500, 0.5514, 0.8715)  0.80
Ce (0.7500, 0.3656, 0.4540)  0.73
Ce (0.7500, 0.4486, 0.1285)  0.80
Ce (0.7500, 0.0514, 0.6285)  0.80
Ce (0.2500, 0.2025, 0.2303)  0.92
Ce (0.2500, 0.2975, 0.7303)  0.92
Ce (0.7500, 0.7975, 0.7697)  0.92
Ce (0.7500, 0.1344, 0.9540)  0.73
P (0.7500, 0.4997, 0.6833)  -0.03
P (0.2500, 0.1835, 0.5022)  -0.03
P (0.7500, 0.6835, 0.9978)  -0.03
P (0.7500, 0.0003, 0.1833)  -0.03
P (0.2500, 0.9997, 0.8167)  -0.03
P (0.2500, 0.5003, 0.3167)  -0.03
P (0.2500, 0.3165, 0.0022)  -0.03
P (0.7500, 0.8165, 0.4978)  -0.03